Crystalline CuNiSe2O6 at its relaxed geometry. Source: Alexandria, functional GGA+U.

Values from the calculation:
- raw total energy (eV/atom) = -5.0486
- space-group type = No. 1

Geometry as CIF:
```
data_CuNiSe2O6
_space_group_name_H-M_alt 'P 1'
_space_group_IT_number 1
_cell_length_a 4.9637
_cell_length_b 5.2446
_cell_length_c 6.5865
_cell_angle_alpha 81.94
_cell_angle_beta 70.02
_cell_angle_gamma 70.11
loop_
_space_group_symop_operation_xyz
'x,y,z'
loop_
_atom_site_label
_atom_site_type_symbol
_atom_site_fract_x
_atom_site_fract_y
_atom_site_fract_z
_atom_site_occupancy
Cu1 Cu 0.0000 0.0000 0.0000 1
Ni1 Ni 0.9900 0.5524 0.6451 1
Se1 Se 0.4925 0.7265 0.1943 1
Se2 Se 0.6217 0.1797 0.6510 1
O1 O 0.2076 0.0319 0.1944 1
O2 O 0.2337 0.2064 0.7653 1
O3 O 0.3642 0.5880 0.4491 1
O4 O 0.6321 0.4352 0.7804 1
O5 O 0.7598 0.8347 0.2455 1
O6 O 0.8044 0.9045 0.8033 1
```